No. 1
Crystalline NiRhBr at its relaxed geometry. Source: the Alexandria database, functional PBE.

Cell and atoms, written as CIF:
```
data_NiRhBr
_chemical_formula_sum 'Ni1 Rh1 Br1'
_space_group_name_H-M_alt 'P 1'
_space_group_IT_number 1
_space_group_name_Hall 'P 1'
_cell_length_a 5.637
_cell_length_b 5.555
_cell_length_c 3.070
_cell_angle_alpha 75.55
_cell_angle_beta 72.62
_cell_angle_gamma 31.83
loop_
_atom_site_label
_atom_site_type_symbol
_atom_site_fract_x
_atom_site_fract_y
_atom_site_fract_z
Br1 Br 0.993 0.993 0.007
Ni1 Ni 0.322 0.322 0.678
Rh1 Rh 0.684 0.684 0.316
```

Values from the calculation:
The value obtained for the energy above the lowest structure with this stoichiometry is 107 meV/atom. Its space group is Fmm2.



No. 2
Crystalline Mg5C3 at its relaxed geometry. Source: the Alexandria database, functional PBE.

Cell and atoms, written as CIF:
```
data_Mg5C3
_chemical_formula_sum 'Mg5 C3'
_space_group_name_H-M_alt 'P 1'
_space_group_IT_number 1
_space_group_name_Hall 'P 1'
_cell_length_a 5.577
_cell_length_b 5.577
_cell_length_c 3.664
_cell_angle_alpha 90.00
_cell_angle_beta 90.00
_cell_angle_gamma 110.85
loop_
_atom_site_label
_atom_site_type_symbol
_atom_site_fract_x
_atom_site_fract_y
_atom_site_fract_z
C1 C 0.500 0.500 0.000
Mg1 Mg 0.000 0.000 0.000
C2 C 0.135 0.865 0.500
Mg2 Mg 0.696 0.696 0.500
Mg3 Mg 0.000 0.500 0.000
Mg4 Mg 0.304 0.304 0.500
C3 C 0.865 0.135 0.500
Mg5 Mg 0.500 0.000 0.000
```

Values from the calculation:
The calculation puts the formation energy from the elements at 5.39 eV per formula unit. The value obtained for the energy above the lowest structure with this stoichiometry is 106 meV/atom. Its space group is Cmmm.



No. 3
Crystalline LiCo2Sb2 at its relaxed geometry. Source: the Alexandria database, functional PBE.

Cell and atoms, written as CIF:
```
data_LiCo2Sb2
_chemical_formula_sum 'Li1 Co2 Sb2'
_space_group_name_H-M_alt 'P 1'
_space_group_IT_number 1
_space_group_name_Hall 'P 1'
_cell_length_a 3.996
_cell_length_b 3.996
_cell_length_c 6.554
_cell_angle_alpha 72.25
_cell_angle_beta 72.25
_cell_angle_gamma 90.00
loop_
_atom_site_label
_atom_site_type_symbol
_atom_site_fract_x
_atom_site_fract_y
_atom_site_fract_z
Co1 Co 0.250 0.750 0.500
Li1 Li 0.000 0.000 0.000
Sb1 Sb 0.626 0.626 0.747
Sb2 Sb 0.374 0.374 0.253
Co2 Co 0.750 0.250 0.500
```

Values from the calculation:
The value obtained for the energy above the lowest structure with this stoichiometry is 0 meV/atom. Its space group is I4/mmm.



No. 4
Crystalline ZnReHI at its relaxed geometry. Source: the Alexandria database, functional PBE.

Cell and atoms, written as CIF:
```
data_ZnReHI
_chemical_formula_sum 'Zn1 Re1 H1 I1'
_space_group_name_H-M_alt 'P 1'
_space_group_IT_number 1
_space_group_name_Hall 'P 1'
_cell_length_a 3.508
_cell_length_b 4.104
_cell_length_c 6.093
_cell_angle_alpha 74.06
_cell_angle_beta 73.33
_cell_angle_gamma 64.78
loop_
_atom_site_label
_atom_site_type_symbol
_atom_site_fract_x
_atom_site_fract_y
_atom_site_fract_z
Re1 Re 0.775 0.026 0.460
I1 I 0.173 0.476 0.214
Zn1 Zn 0.385 0.578 0.688
H1 H 0.630 0.024 0.753
```

Values from the calculation:
The value obtained for the energy above the lowest structure with this stoichiometry is 148 meV/atom. Its space group is Cm.



No. 5
Crystalline BeMoPIr at its relaxed geometry. Source: the Alexandria database, functional PBE.

Cell and atoms, written as CIF:
```
data_BeMoPIr
_chemical_formula_sum 'Be4 Mo4 P4 Ir4'
_space_group_name_H-M_alt 'P 1'
_space_group_IT_number 1
_space_group_name_Hall 'P 1'
_cell_length_a 5.828
_cell_length_b 5.828
_cell_length_c 5.828
_cell_angle_alpha 90.00
_cell_angle_beta 90.00
_cell_angle_gamma 90.00
loop_
_atom_site_label
_atom_site_type_symbol
_atom_site_fract_x
_atom_site_fract_y
_atom_site_fract_z
Be1 Be 0.000 0.500 0.500
Ir1 Ir 0.750 0.750 0.750
Mo1 Mo 0.250 0.250 0.250
Mo2 Mo 0.750 0.750 0.250
Mo3 Mo 0.750 0.250 0.750
P1 P 0.000 0.500 0.000
P2 P 0.500 0.500 0.500
Mo4 Mo 0.250 0.750 0.750
Be2 Be 0.000 0.000 0.000
Ir2 Ir 0.750 0.250 0.250
P3 P 0.500 0.000 0.000
Ir3 Ir 0.250 0.250 0.750
Ir4 Ir 0.250 0.750 0.250
Be3 Be 0.500 0.500 0.000
P4 P 0.000 0.000 0.500
Be4 Be 0.500 0.000 0.500
```

Values from the calculation:
The calculation puts the formation energy from the elements at -0.85 eV per formula unit. The value obtained for the energy above the lowest structure with this stoichiometry is 263 meV/atom. Its space group is F-43m.



No. 6
Crystalline K2Tl4CdIn3 at its relaxed geometry. Source: the Alexandria database, functional PBE.

Cell and atoms, written as CIF:
```
data_K2Tl4CdIn3
_chemical_formula_sum 'K2 Tl4 Cd1 In3'
_space_group_name_H-M_alt 'P 1'
_space_group_IT_number 1
_space_group_name_Hall 'P 1'
_cell_length_a 5.110
_cell_length_b 5.110
_cell_length_c 12.838
_cell_angle_alpha 90.00
_cell_angle_beta 90.00
_cell_angle_gamma 90.00
loop_
_atom_site_label
_atom_site_type_symbol
_atom_site_fract_x
_atom_site_fract_y
_atom_site_fract_z
Cd1 Cd 0.500 0.500 0.500
Tl1 Tl 0.000 0.500 0.368
K1 K 0.500 0.000 0.253
In1 In 0.000 0.000 0.500
K2 K 0.000 0.500 0.747
Tl2 Tl 0.500 0.000 0.632
Tl3 Tl 0.000 0.000 0.000
Tl4 Tl 0.500 0.500 0.000
In2 In 0.500 0.000 0.864
In3 In 0.000 0.500 0.136
```

Values from the calculation:
The calculation puts the formation energy from the elements at -0.60 eV per formula unit. Its space group is P-4m2.



No. 7
Crystalline LaBeGeIr at its relaxed geometry. Source: the Alexandria database, functional PBE.

Cell and atoms, written as CIF:
```
data_LaBeGeIr
_chemical_formula_sum 'La1 Be1 Ge1 Ir1'
_space_group_name_H-M_alt 'P 1'
_space_group_IT_number 1
_space_group_name_Hall 'P 1'
_cell_length_a 4.136
_cell_length_b 4.136
_cell_length_c 5.798
_cell_angle_alpha 69.11
_cell_angle_beta 69.11
_cell_angle_gamma 60.00
loop_
_atom_site_label
_atom_site_type_symbol
_atom_site_fract_x
_atom_site_fract_y
_atom_site_fract_z
Ge1 Ge 0.011 0.011 0.966
Ir1 Ir 0.615 0.615 0.155
Be1 Be 0.284 0.284 0.148
La1 La 0.816 0.816 0.552
```

Values from the calculation:
The calculation puts the formation energy from the elements at -2.36 eV per formula unit. Its space group is R3m.



No. 8
Crystalline Li4CaIn8 at its relaxed geometry. Source: the Alexandria database, functional PBE.

Cell and atoms, written as CIF:
```
data_Li4CaIn8
_chemical_formula_sum 'Li4 Ca1 In8'
_space_group_name_H-M_alt 'P 1'
_space_group_IT_number 1
_space_group_name_Hall 'P 1'
_cell_length_a 5.923
_cell_length_b 7.635
_cell_length_c 7.635
_cell_angle_alpha 81.35
_cell_angle_beta 67.18
_cell_angle_gamma 67.18
loop_
_atom_site_label
_atom_site_type_symbol
_atom_site_fract_x
_atom_site_fract_y
_atom_site_fract_z
Li1 Li 0.500 0.500 0.000
Li2 Li 0.000 0.000 0.500
In1 In 0.340 0.660 0.660
In2 In 0.500 0.779 0.221
Li3 Li 0.500 0.000 0.500
In3 In 0.000 0.340 0.660
In4 In 0.500 0.221 0.779
In5 In 0.660 0.340 0.340
In6 In 0.279 0.221 0.221
Li4 Li 0.000 0.500 0.000
In7 In 0.721 0.779 0.779
Ca1 Ca 0.000 0.000 0.000
In8 In 0.000 0.660 0.340
```

Values from the calculation:
The calculation puts the formation energy from the elements at -3.40 eV per formula unit. Its space group is I4/mmm.



No. 9
Crystalline Fe2Co2Mo at its relaxed geometry. Source: the Alexandria database, functional PBE.

Cell and atoms, written as CIF:
```
data_Fe2Co2Mo
_chemical_formula_sum 'Fe2 Co2 Mo1'
_space_group_name_H-M_alt 'P 1'
_space_group_IT_number 1
_space_group_name_Hall 'P 1'
_cell_length_a 5.918
_cell_length_b 5.918
_cell_length_c 5.918
_cell_angle_alpha 146.77
_cell_angle_beta 146.77
_cell_angle_gamma 47.70
loop_
_atom_site_label
_atom_site_type_symbol
_atom_site_fract_x
_atom_site_fract_y
_atom_site_fract_z
Fe1 Fe 0.250 0.750 0.500
Mo1 Mo 0.000 0.000 0.000
Fe2 Fe 0.750 0.250 0.500
Co1 Co 0.601 0.601 0.000
Co2 Co 0.399 0.399 0.000
```

Values from the calculation:
The calculation puts the formation energy from the elements at 1.91 eV per formula unit. The value obtained for the energy above the lowest structure with this stoichiometry is 208 meV/atom. Its space group is I4/mmm.



No. 10
Crystalline ThCuTc at its relaxed geometry. Source: the Alexandria database, functional PBE.

Cell and atoms, written as CIF:
```
data_ThCuTc
_chemical_formula_sum 'Th1 Cu1 Tc1'
_space_group_name_H-M_alt 'P 1'
_space_group_IT_number 1
_space_group_name_Hall 'P 1'
_cell_length_a 3.906
_cell_length_b 4.272
_cell_length_c 4.272
_cell_angle_alpha 120.00
_cell_angle_beta 90.00
_cell_angle_gamma 90.00
loop_
_atom_site_label
_atom_site_type_symbol
_atom_site_fract_x
_atom_site_fract_y
_atom_site_fract_z
Tc1 Tc 0.167 0.333 0.667
Th1 Th 0.667 0.667 0.333
Cu1 Cu 0.167 0.000 0.000
```

Values from the calculation:
The calculation puts the formation energy from the elements at 0.21 eV per formula unit. The value obtained for the energy above the lowest structure with this stoichiometry is 0 meV/atom. Its space group is P-6m2.



No. 11
Crystalline LaCdHRhAu at its relaxed geometry. Source: the Alexandria database, functional PBE.

Cell and atoms, written as CIF:
```
data_LaCdHRhAu
_chemical_formula_sum 'La3 Cd3 H3 Rh3 Au3'
_space_group_name_H-M_alt 'P 1'
_space_group_IT_number 1
_space_group_name_Hall 'P 1'
_cell_length_a 4.596
_cell_length_b 4.596
_cell_length_c 16.237
_cell_angle_alpha 90.00
_cell_angle_beta 90.00
_cell_angle_gamma 120.00
loop_
_atom_site_label
_atom_site_type_symbol
_atom_site_fract_x
_atom_site_fract_y
_atom_site_fract_z
La1 La 0.333 0.667 0.875
La2 La 0.000 0.000 0.208
H1 H 0.667 0.333 0.869
Cd1 Cd 0.333 0.667 0.672
La3 La 0.667 0.333 0.542
H2 H 0.333 0.667 0.203
H3 H 0.000 0.000 0.536
Cd2 Cd 0.000 0.000 0.006
Au1 Au 0.667 0.333 0.739
Au2 Au 0.333 0.667 0.072
Rh1 Rh 0.000 0.000 0.640
Rh2 Rh 0.333 0.667 0.307
Au3 Au 0.000 0.000 0.406
Rh3 Rh 0.667 0.333 0.974
Cd3 Cd 0.667 0.333 0.339
```

Values from the calculation:
The value obtained for the energy above the lowest structure with this stoichiometry is 68 meV/atom. Its space group is R3m.



No. 12
Crystalline La6In3Ir at its relaxed geometry. Source: the Alexandria database, functional PBE.

Cell and atoms, written as CIF:
```
data_La6In3Ir
_chemical_formula_sum 'La12 In6 Ir2'
_space_group_name_H-M_alt 'P 1'
_space_group_IT_number 1
_space_group_name_Hall 'P 1'
_cell_length_a 5.632
_cell_length_b 9.479
_cell_length_c 11.825
_cell_angle_alpha 90.00
_cell_angle_beta 89.96
_cell_angle_gamma 90.00
loop_
_atom_site_label
_atom_site_type_symbol
_atom_site_fract_x
_atom_site_fract_y
_atom_site_fract_z
Ir1 Ir 0.000 0.000 0.000
In1 In 0.007 0.654 0.241
In2 In 0.500 0.500 0.000
La1 La 0.992 0.991 0.235
La2 La 0.491 0.848 0.067
La3 La 0.504 0.192 0.560
La4 La 0.991 0.652 0.567
Ir2 Ir 0.500 0.500 0.500
La5 La 0.009 0.348 0.433
La6 La 0.996 0.692 0.940
In3 In 0.000 0.000 0.500
In4 In 0.493 0.154 0.259
La7 La 0.004 0.308 0.060
La8 La 0.496 0.808 0.440
La9 La 0.008 0.009 0.765
In5 In 0.993 0.346 0.759
La10 La 0.492 0.509 0.735
La11 La 0.508 0.491 0.265
In6 In 0.507 0.846 0.741
La12 La 0.509 0.152 0.933
```

Values from the calculation:
The calculation puts the formation energy from the elements at -4.45 eV per formula unit. Its space group is P2_1/c.